# 1
Below is an optimized crystal structure of LiRhSe2, with properties calculated at the GGA-PBEsol level.

Cell and atoms, written as CIF:
```
data_LiRhSe2
_chemical_formula_sum 'Li2 Rh2 Se4'
_cell_length_a 3.7118
_cell_length_b 3.7118
_cell_length_c 9.0895
_cell_angle_alpha 90.00
_cell_angle_beta 90.00
_cell_angle_gamma 90.00
_space_group_name_H-M_alt 'I -4 m 2'
_space_group_IT_number 119
_space_group_name_Hall 'I -4 -2'
loop_
_atom_site_label
_atom_site_fract_x
_atom_site_fract_y
_atom_site_fract_z
Li1 0.0000 0.0000 0.0000
Rh1 0.0000 0.5000 0.2500
Se1 0.0000 0.0000 0.5000
Se2 0.0000 0.5000 0.7500
```

The calculation puts the calculated total energy at -37.469 eV/cell.

---

# 2
Below is an optimized crystal structure of SrSiNi2, with properties calculated at the GGA-PBEsol level.

Cell and atoms, written as CIF:
```
data_SrSiNi2
_chemical_formula_sum 'Sr3 Si3 Ni6'
_cell_length_a 3.9798
_cell_length_b 3.9798
_cell_length_c 15.6610
_cell_angle_alpha 90.00
_cell_angle_beta 90.00
_cell_angle_gamma 120.00
_space_group_name_H-M_alt 'R -3 m'
_space_group_IT_number 166
_space_group_name_Hall '-R 3 2"'
loop_
_atom_site_label
_atom_site_fract_x
_atom_site_fract_y
_atom_site_fract_z
Sr1 0.0000 0.0000 0.0000
Si1 0.0000 0.0000 0.5000
Ni1 0.0000 0.0000 0.1899
```

The calculation puts the calculated total energy at -65.863 eV/cell.

---

Taking the records one at a time from the top gives volume values of 15.654, 17.902 Å³/atom.